# 1
Material: MnAsOF2
Method: DFT, GGA+U
State: optimized geometry

Cell and atoms, written as POSCAR:
```
MnAsOF2
1.0
-1.499 3.034 -1.850
0.047 -2.860 -4.727
-3.554 -1.299 0.751
As Mn O F
1 1 1 2
direct
0.000 0.000 0.000
0.000 0.500 0.000
0.500 0.500 0.500
0.000 0.000 0.500
0.500 0.000 0.000
```

Results
Symmetry   P4/mmm
Offset from the most stable computed form   1.54 eV per formula unit

# 2
Material: MnAsOF2
Method: DFT, GGA+U
State: optimized geometry

Cell and atoms, written as POSCAR:
```
MnAsOF2
1.0
-1.479 -3.773 -0.071
2.926 -1.098 -2.581
2.403 -1.001 3.150
As Mn O F
1 1 1 2
direct
0.500 0.500 0.500
0.000 0.000 0.000
0.000 0.000 0.500
0.000 0.500 0.000
0.500 0.000 0.000
```

Results
Symmetry   P4/mmm
Offset from the most stable computed form   0.00 eV per formula unit

# 3
Material: MnAsO2F
Method: DFT, GGA+U
State: optimized geometry

Cell and atoms, written as POSCAR:
```
MnAsO2F
1.0
-3.181 -1.237 -1.981
2.112 -2.952 -1.548
-0.990 -2.293 3.022
As Mn O F
1 1 2 1
direct
0.500 0.500 0.500
0.000 0.000 0.000
0.000 0.500 0.000
0.500 0.000 0.000
0.000 0.000 0.500
```

Results
Energy   -0.415 Ry per atom
Symmetry   P4/mmm

# 4
Material: MnAsOF2
Method: DFT, GGA+U
State: optimized geometry

Cell and atoms, written as POSCAR:
```
MnAsOF2
1.0
-0.565 -4.257 -1.051
3.645 -1.045 2.273
-2.176 -0.514 3.252
As Mn O F
1 1 1 2
direct
0.000 0.000 0.000
0.500 0.500 0.500
0.000 0.000 0.500
0.000 0.500 0.000
0.500 0.000 0.000
```

Results
Symmetry   P4/mmm
Offset from the most stable computed form   0.56 eV per formula unit

# 5
Material: MnAsO2F
Method: DFT, GGA+U
State: optimized geometry

Cell and atoms, written as POSCAR:
```
MnAsO2F
1.0
-0.187 -1.278 3.859
4.055 0.222 0.270
-0.296 3.865 1.266
As Mn O F
1 1 2 1
direct
0.000 0.000 0.000
0.500 0.500 0.500
0.000 0.500 0.000
0.500 0.000 0.000
0.000 0.000 0.500
```

Results
Energy   -0.420 Ry per atom
Symmetry   P4/mmm

# 6
Material: MnAsOs2F
Method: DFT, GGA+U
State: optimized geometry

Cell and atoms, written as POSCAR:
```
MnAsOs2F
1.0
-4.306 -0.376 -0.446
0.235 -4.159 1.239
-0.509 1.148 3.949
As Mn Os F
1 1 2 1
direct
0.500 0.500 0.500
0.000 0.000 0.500
0.000 0.500 0.000
0.500 0.000 0.000
0.000 0.000 0.000
```

Results
Energy   -0.454 Ry per atom
Symmetry   P4/mmm

# 7
Material: Mn2AsPF
Method: DFT, GGA+U
State: optimized geometry

Cell and atoms, written as POSCAR:
```
Mn2AsPF
1.0
-0.790 -1.253 -3.943
0.670 -4.961 1.442
-4.102 -0.288 0.914
P As Mn F
1 1 2 1
direct
0.000 0.500 0.000
0.500 0.500 0.500
0.000 0.000 0.500
0.500 0.000 0.000
0.000 0.000 0.000
```

Results
Energy   -0.392 Ry per atom
Symmetry   P4/mmm

# 8
Material: RbMnAsF2
Method: DFT, GGA+U
State: optimized geometry

Cell and atoms, written as POSCAR:
```
RbMnAsF2
1.0
4.636 0.000 0.000
0.000 6.767 0.000
0.000 0.000 4.636
As Mn Rb F
1 1 1 2
direct
0.500 0.500 0.500
0.000 0.500 0.000
0.000 0.000 0.000
0.000 0.000 0.500
0.500 0.000 0.000
```

Results
Energy   -0.273 Ry per atom
Symmetry   P4/mmm

# 9
Material: Rb2MnAsF6
Method: DFT, GGA+U
State: optimized geometry

Cell and atoms, written as POSCAR:
```
Rb2MnAsF6
1.0
6.420 0.000 0.000
0.000 6.420 0.000
3.210 3.210 4.269
As Mn Rb F
1 1 2 6
direct
0.000 0.000 0.000
0.500 0.500 0.000
0.750 0.250 0.500
0.250 0.750 0.500
0.240 0.240 0.520
0.760 0.760 0.480
0.269 0.269 0.000
0.731 0.731 0.000
0.731 0.269 0.000
0.269 0.731 0.000
```

Results
Energy   -0.354 Ry per atom
Symmetry   I4/mmm

# 10
Material: MnAsRhF2
Method: DFT, GGA+U
State: optimized geometry

Cell and atoms, written as POSCAR:
```
MnAsRhF2
1.0
-2.879 -2.483 -1.479
3.170 -3.943 0.449
-1.368 -0.669 3.784
As Mn Rh F
1 1 1 2
direct
0.000 0.500 0.000
0.500 0.500 0.500
0.000 0.000 0.000
0.000 0.000 0.500
0.500 0.000 0.000
```

Results
Energy   -0.392 Ry per atom
Symmetry   P4/mmm

# 11
Material: MnAs2SeF
Method: DFT, GGA+U
State: optimized geometry

Cell and atoms, written as POSCAR:
```
MnAs2SeF
1.0
-1.685 2.910 -2.657
-3.700 -0.172 2.157
1.750 4.049 3.326
As Mn Se F
2 1 1 1
direct
0.000 0.500 0.000
0.500 0.000 0.000
0.500 0.500 0.500
0.000 0.000 0.500
0.000 0.000 0.000
```

Results
Energy   -0.311 Ry per atom
Symmetry   P4/mmm

# 12
Material: TaMnAsF2
Method: DFT, GGA+U
State: optimized geometry

Cell and atoms, written as POSCAR:
```
TaMnAsF2
1.0
3.965 0.000 0.000
0.000 5.870 0.000
0.000 0.000 3.965
As Mn F Ta
1 1 2 1
direct
0.500 0.500 0.500
0.000 0.500 0.000
0.000 0.000 0.500
0.500 0.000 0.000
0.000 0.000 0.000
```

Results
Energy   -0.474 Ry per atom
Symmetry   P4/mmm

# 13
Material: TaMnAs2F
Method: DFT, GGA+U
State: optimized geometry

Cell and atoms, written as POSCAR:
```
TaMnAs2F
1.0
4.949 0.000 0.000
0.000 3.881 0.000
0.000 0.000 4.949
As Mn F Ta
2 1 1 1
direct
0.000 0.000 0.500
0.500 0.000 0.000
0.500 0.500 0.500
0.000 0.000 0.000
0.000 0.500 0.000
```

Results
Energy   -0.432 Ry per atom
Symmetry   P4/mmm

# 14
Material: MnTl2AsF6
Method: DFT, GGA+U
State: optimized geometry

Cell and atoms, written as POSCAR:
```
MnTl2AsF6
1.0
5.325 -0.046 0.535
-0.011 5.931 -0.142
3.042 2.797 6.054
Mn Tl As F
1 2 1 6
direct
0.000 0.000 0.000
0.772 0.253 0.474
0.228 0.747 0.526
0.500 0.500 0.000
0.093 0.118 0.664
0.679 0.664 0.126
0.365 0.815 0.887
0.635 0.185 0.113
0.321 0.336 0.874
0.907 0.882 0.336
```

Results
Energy   -0.352 Ry per atom
Symmetry   P-1

# 15
Material: Mn2AsWF
Method: DFT, GGA+U
State: optimized geometry

Cell and atoms, written as POSCAR:
```
Mn2AsWF
1.0
5.082 0.000 0.000
0.000 4.030 0.000
0.000 0.000 5.082
As Mn W F
1 2 1 1
direct
0.000 0.000 0.000
0.000 0.000 0.500
0.500 0.000 0.000
0.500 0.500 0.500
0.000 0.500 0.000
```

Results
Energy   -0.389 Ry per atom
Symmetry   P4/mmm

# 16
Material: MoAsF
Method: DFT, GGA+U
State: optimized geometry

Cell and atoms, written as POSCAR:
```
MoAsF
1.0
-2.094 -2.628 -0.581
-0.836 -0.707 6.215
-5.090 2.831 5.550
Mo As F
2 2 2
direct
0.500 0.225 0.503
0.500 0.775 0.497
0.000 0.250 0.237
0.000 0.750 0.763
0.500 0.708 0.272
0.500 0.292 0.728
```

Results
Energy   -0.384 Ry per atom
Symmetry   P2/m

# 17
Material: Mo3AsF
Method: DFT, GGA+U
State: optimized geometry

Cell and atoms, written as POSCAR:
```
Mo3AsF
1.0
-4.450 2.101 1.840
-2.787 -3.560 -2.676
0.176 -3.242 4.130
Mo As F
3 1 1
direct
0.000 0.500 0.000
0.000 0.000 0.500
0.500 0.000 0.000
0.000 0.000 0.000
0.500 0.500 0.500
```

Results
Symmetry   Pm-3m
Offset from the most stable computed form   0.00 eV per formula unit

# 18
Material: MoAsN2F
Method: DFT, GGA+U
State: optimized geometry

Cell and atoms, written as POSCAR:
```
MoAsN2F
1.0
4.082 0.000 0.000
0.000 4.082 0.000
0.000 0.000 4.088
Mo N As F
1 2 1 1
direct
0.000 0.000 0.000
0.000 0.500 0.000
0.500 0.000 0.000
0.500 0.500 0.500
0.000 0.000 0.500
```

Results
Symmetry   P4/mmm
Offset from the most stable computed form   0.00 eV per formula unit

# 19
Material: MoAsN2F
Method: DFT, GGA+U
State: optimized geometry

Cell and atoms, written as POSCAR:
```
MoAsN2F
1.0
-3.617 0.392 -1.479
-0.500 -3.891 0.190
-1.441 0.362 3.622
Mo N As F
1 2 1 1
direct
0.500 0.500 0.500
0.000 0.500 0.000
0.500 0.000 0.000
0.000 0.000 0.000
0.000 0.000 0.500
```

Results
Symmetry   P4/mmm
Offset from the most stable computed form   1.22 eV per formula unit

# 20
Material: MoAsOF2
Method: DFT, GGA+U
State: optimized geometry

Cell and atoms, written as POSCAR:
```
MoAsOF2
1.0
-4.183 -1.217 -0.500
1.116 -2.397 -3.498
0.631 -3.135 2.350
Mo As O F
1 1 1 2
direct
0.500 0.500 0.500
0.000 0.000 0.000
0.000 0.000 0.500
0.000 0.500 0.000
0.500 0.000 0.000
```

Results
Symmetry   P4/mmm
Offset from the most stable computed form   1.18 eV per formula unit